Density functional theory data (PBE-GGA) for a relaxed structure of LiAlCuHg.

a = 4.4349 Å, b = 4.4349 Å, c = 4.4349 Å
α = 60.00°, β = 60.00°, γ = 60.00°
Element x y z (fractional)
Li1 0.0000 0.0000 0.0000
Al1 0.5000 0.5000 0.5000
Cu1 0.7500 0.7500 0.7500
Hg1 0.2500 0.2500 0.2500

Properties
V ... 61.7 Å³ per cell
Total DFT energy (no corrections) ... -10.21 eV per cell



Density functional theory data (PBE-GGA) for a relaxed structure of Li4Al2CuHg.

a = 4.3560 Å, b = 4.3560 Å, c = 6.2375 Å
α = 90.00°, β = 90.00°, γ = 90.00°
Element x y z (fractional)
Li1 0.0000 0.0000 0.0000
Li2 0.0000 0.5000 0.7373
Li3 0.5000 0.0000 0.2627
Li4 0.5000 0.5000 0.5000
Al1 0.0000 0.5000 0.2761
Al2 0.5000 0.0000 0.7239
Cu1 0.0000 0.0000 0.5000
Hg1 0.5000 0.5000 0.0000

Properties
V ... 118.4 Å³ per cell
Total DFT energy (no corrections) ... -21.05 eV per cell



Density functional theory data (PBE-GGA) for a relaxed structure of MgAlCuHg.

a = 4.6011 Å, b = 4.6011 Å, c = 4.6011 Å
α = 60.00°, β = 60.00°, γ = 60.00°
Element x y z (fractional)
Mg1 0.0000 0.0000 0.0000
Al1 0.5000 0.5000 0.5000
Cu1 0.7500 0.7500 0.7500
Hg1 0.2500 0.2500 0.2500

Properties
V ... 68.9 Å³ per cell
Total DFT energy (no corrections) ... -9.31 eV per cell



Density functional theory data (PBE-GGA) for a relaxed structure of Y3Mg3AlCuHg.

a = 7.5874 Å, b = 7.5874 Å, c = 4.1987 Å
α = 90.00°, β = 90.00°, γ = 120.00°
Element x y z (fractional)
Y1 0.0042 0.5970 0.0000
Y2 0.4030 0.4071 0.0000
Y3 0.5929 0.9958 0.0000
Mg1 0.0019 0.2400 0.5000
Mg2 0.2381 0.9981 0.5000
Mg3 0.7600 0.7619 0.5000
Al1 0.3333 0.6667 0.5000
Cu1 0.0000 0.0000 0.0000
Hg1 0.6667 0.3333 0.5000

Properties
V ... 209.3 Å³ per cell
Total DFT energy (no corrections) ... -34.80 eV per cell
M_tot ... 0.020 μB per formula unit